Entry 1:
Crystalline BePIO2 at its relaxed geometry, computed with PBE.

Results
**DFT total energy**: -21.358 eV for the cell shown
**Formation energy without anion corrections**: -0.15 eV per atom
**Polymorph energy (0 for the lowest one)**: 0.00 eV/f.u.
**Space group**: P4/mmm (123)

a b c (Å): 3.516 3.516 7.056
angles (deg): 90.00 90.00 90.00
Atoms (fractional coordinates):
Be 0.500 0.500 0.500
O 0.500 0.000 0.000
O 0.000 0.500 0.000
P 0.000 0.000 0.000
I 0.000 0.000 0.500

***

Entry 2:
Crystalline BePIO2 at its relaxed geometry, computed with PBE.

Results
**DFT total energy**: -19.689 eV for the cell shown
**Formation energy without anion corrections**: 0.18 eV per atom
**Polymorph energy (0 for the lowest one)**: 1.67 eV/f.u.
**Space group**: P4/mmm (123)

a b c (Å): 3.791 3.791 4.418
angles (deg): 90.00 90.00 90.00
Atoms (fractional coordinates):
P 0.000 0.000 0.500
O 0.000 0.500 0.000
O 0.500 0.000 0.000
I 0.500 0.500 0.500
Be 0.000 0.000 0.000